First-principles (GGA-PBE) data for PrYTm5 after structural relaxation, as listed in Alexandria.

Geometry as CIF:
```
data_PrYTm5
_chemical_formula_sum 'Pr1 Y1 Tm5'
_symmetry_space_group_name_H-M 'P 1'
_symmetry_Int_Tables_number 1
_cell_length_a 5.751
_cell_length_b 7.831
_cell_length_c 7.831
_cell_angle_alpha 66.51
_cell_angle_beta 68.46
_cell_angle_gamma 68.46
loop_
_symmetry_equiv_pos_as_xyz
'x,y,z'
loop_
_atom_site_label
_atom_site_type_symbol
_atom_site_fract_x
_atom_site_fract_y
_atom_site_fract_z
Tm1 Tm 0.500 0.821 0.179
Tm2 Tm 0.254 0.746 0.746
Tm3 Tm 0.500 0.179 0.821
Tm4 Tm 0.746 0.254 0.254
Tm5 Tm 0.000 0.500 0.500
Pr1 Pr 0.000 0.000 0.000
Y1 Y 0.500 0.500 0.500
```

Computed properties:
E above lowest polymorph: 957 meV/atom
VASP energy: -3.641 eV/atom

First-principles (GGA-PBE) data for Pr2Y7Tm3 after structural relaxation, as listed in Alexandria.

Geometry as CIF:
```
data_Pr2Y7Tm3
_chemical_formula_sum 'Pr2 Y7 Tm3'
_symmetry_space_group_name_H-M 'P 1'
_symmetry_Int_Tables_number 1
_cell_length_a 3.605
_cell_length_b 5.796
_cell_length_c 18.771
_cell_angle_alpha 93.86
_cell_angle_beta 90.00
_cell_angle_gamma 90.00
loop_
_symmetry_equiv_pos_as_xyz
'x,y,z'
loop_
_atom_site_label
_atom_site_type_symbol
_atom_site_fract_x
_atom_site_fract_y
_atom_site_fract_z
Tm1 Tm 0.000 0.779 0.630
Tm2 Tm 0.500 0.500 0.000
Tm3 Tm 0.000 0.221 0.370
Pr1 Pr 0.500 0.295 0.705
Pr2 Pr 0.500 0.705 0.295
Y1 Y 0.500 0.259 0.537
Y2 Y 0.500 0.181 0.177
Y3 Y 0.500 0.741 0.463
Y4 Y 0.000 0.000 0.000
Y5 Y 0.000 0.677 0.141
Y6 Y 0.000 0.323 0.859
Y7 Y 0.500 0.819 0.823
```

Computed properties:
E above lowest polymorph: 11 meV/atom
VASP energy: -5.593 eV/atom

First-principles (GGA-PBE) data for Pr4YTm3 after structural relaxation, as listed in Alexandria.

Geometry as CIF:
```
data_Pr4YTm3
_chemical_formula_sum 'Pr4 Y1 Tm3'
_symmetry_space_group_name_H-M 'P 1'
_symmetry_Int_Tables_number 1
_cell_length_a 3.622
_cell_length_b 6.226
_cell_length_c 13.059
_cell_angle_alpha 113.60
_cell_angle_beta 97.97
_cell_angle_gamma 90.00
loop_
_symmetry_equiv_pos_as_xyz
'x,y,z'
loop_
_atom_site_label
_atom_site_type_symbol
_atom_site_fract_x
_atom_site_fract_y
_atom_site_fract_z
Tm1 Tm 0.878 0.630 0.755
Tm2 Tm 0.000 0.500 0.000
Tm3 Tm 0.122 0.370 0.245
Pr1 Pr 0.622 0.869 0.244
Pr2 Pr 0.251 0.253 0.502
Pr3 Pr 0.749 0.747 0.498
Pr4 Pr 0.378 0.131 0.756
Y1 Y 0.500 0.000 0.000
```

Computed properties:
E above lowest polymorph: 0 meV/atom
VASP energy: -4.850 eV/atom

The lowest VASP energy belongs to which entry? Pr2Y7Tm3

What is the VASP energy in the third record? -4.850 eV/atom

VASP energy of number 1 (PrYTm5)? -3.641 eV/atom

Which value of VASP energy does entry 1 give? -3.641 eV/atom